A plane-wave DFT calculation with PBE was carried out for a relaxed structure of U4Pd6Rh7.

* spin magnetization: 5.0 μB per formula unit
* calculated total energy: -7.900 eV/atom
* symmetry: Im-3m, No. 229

POSCAR file:
```
U4Pd6Rh7
1.0
-4.193 4.193 4.193
4.193 -4.193 4.193
4.193 4.193 -4.193
U Pd Rh
4 6 7
Direct
0.000 0.000 0.500
0.000 0.500 0.000
0.500 0.000 0.000
0.500 0.500 0.500
0.000 0.300 0.300
0.000 0.700 0.700
0.300 0.000 0.300
0.300 0.300 0.000
0.700 0.000 0.700
0.700 0.700 0.000
0.000 0.000 0.000
0.250 0.500 0.750
0.250 0.750 0.500
0.500 0.250 0.750
0.500 0.750 0.250
0.750 0.250 0.500
0.750 0.500 0.250
```